PrSm2ThBi5 | PBE-GGA | relaxed

Computed properties:
DFT formation energy in kJ/mol of formula units: 70
Electronic total energy in eV/atom: -4.480
DOS(E_F) in states/eV per atom: 0.687

a = 5.7182 Å, b = 5.7182 Å, c = 12.1442 Å
α = 90.00°, β = 90.00°, γ = 90.00°
With the nearest neighbours (Å) after each atom.
Space group P4/mmm (No. 123)
Unique sites:
Pr 0.0000 0.0000 0.0000  2 Bi 2.99
Sm 0.5000 0.5000 0.2691  1 Bi 3.27
Th 0.0000 0.0000 0.5000  6 Bi 2.86-3.08
Bi 0.0000 0.0000 0.2461  1 Pr 2.99, 1 Th 3.08
Bi 0.0000 0.5000 0.5000  2 Th 2.86
Bi 0.5000 0.5000 0.0000  2 Sm 3.27